Record 1
Material: Pm2TcH6
Method: DFT, PBE
State: relaxed

a = 5.1591 Å, b = 5.1591 Å, c = 5.1591 Å
α = 60.00°, β = 60.00°, γ = 60.00°
Last column: nearest neighbours and their distance in Å.
Sites, in units of the cell vectors:
1 Pm 0.2500 0.2500 0.2500  12 H 2.58
2 Pm 0.7500 0.7500 0.7500  12 H 2.58
3 Tc 0.0000 0.0000 0.0000  6 H 1.79
4 H 0.2452 0.7548 0.7548  1 Tc 1.79
5 H 0.2452 0.7548 0.2452  1 Tc 1.79
6 H 0.7548 0.2452 0.7548  1 Tc 1.79
7 H 0.7548 0.2452 0.2452  1 Tc 1.79
8 H 0.7548 0.7548 0.2452  1 Tc 1.79
9 H 0.2452 0.2452 0.7548  1 Tc 1.79

DFT total energy = -4.972 eV per atom
Fermi-level density of states = 4.22 states/eV/f.u.


Record 2
Material: PmTcH3
Method: DFT, PBE
State: relaxed

a = 3.7184 Å, b = 3.7184 Å, c = 3.7184 Å
α = 90.00°, β = 90.00°, γ = 90.00°
Last column: nearest neighbours and their distance in Å.
Sites, in units of the cell vectors:
1 H 0.0000 0.5000 0.0000  2 Tc 1.86
2 H 0.0000 0.0000 0.5000  2 Tc 1.86
3 H 0.5000 0.0000 0.0000  2 Tc 1.86
4 Tc 0.0000 0.0000 0.0000  6 H 1.86
5 Pm 0.5000 0.5000 0.5000  12 H 2.63

DFT total energy = -5.388 eV per atom
Fermi-level density of states = 2.07 states/eV/f.u.


Record 3
Material: PmTcH
Method: DFT, PBE
State: relaxed

a = 3.2864 Å, b = 3.2864 Å, c = 12.9735 Å
α = 120.39°, β = 120.39°, γ = 90.00°
Last column: nearest neighbours and their distance in Å.
Sites, in units of the cell vectors:
1 H 0.7165 0.7165 0.7332  1 Tc 1.84
2 H 0.2835 0.2835 0.2668  1 Tc 1.84
3 Tc 0.8768 0.8768 0.0637  1 H 1.84
4 Tc 0.1232 0.1232 0.9363  1 H 1.84
5 Pm 0.1184 0.1184 0.6841  4 H 2.37
6 Pm 0.8816 0.8816 0.3159  4 H 2.37

DFT total energy = -6.262 eV per atom
Fermi-level density of states = 2.87 states/eV/f.u.


Record 4
Material: Pm2TcH8
Method: DFT, PBE
State: relaxed

a = 3.5504 Å, b = 4.3980 Å, c = 7.2310 Å
α = 107.71°, β = 104.21°, γ = 90.00°
Last column: nearest neighbours and their distance in Å.
Sites, in units of the cell vectors:
1 Pm 0.8556 0.3558 0.7112  8 H 2.21-2.35
2 Pm 0.1444 0.6442 0.2888  8 H 2.21-2.35
3 Tc 0.5000 0.0000 0.0000  4 H 1.75
4 H 0.3902 0.6719 0.7804  1 Tc 1.75, 1 H 1.92
5 H 0.6096 0.8904 0.2192  1 Tc 1.75, 1 H 1.92
6 H 0.7605 0.7604 0.5210  4 Pm 2.35-2.54, 2 H 2.36
7 H 0.0000 0.2014 0.0000  1 H 1.77
8 H 0.2395 0.2396 0.4790  4 Pm 2.35-2.54, 2 H 2.36
9 H 0.3904 0.1096 0.7808  1 Tc 1.75, 1 H 1.92
10 H 0.6098 0.3281 0.2196  1 Tc 1.75, 1 H 1.92
11 H 0.0000 0.7986 0.0000  1 H 1.77

DFT total energy = -4.617 eV per atom
Fermi-level density of states = 2.18 states/eV/f.u.


Record 5
Material: PmTcH4
Method: DFT, PBE
State: relaxed

a = 3.6725 Å, b = 5.1375 Å, c = 6.3822 Å
α = 90.00°, β = 106.72°, γ = 90.00°
Last column: nearest neighbours and their distance in Å.
Sites, in units of the cell vectors:
1 Pm 0.3672 0.7500 0.7344  9 H 2.41-2.66
2 Pm 0.6328 0.2500 0.2656  9 H 2.41-2.66
3 Tc 0.0992 0.7500 0.1984  6 H 1.73-1.85
4 Tc 0.9008 0.2500 0.8016  6 H 1.73-1.85
5 H 0.1982 0.5095 0.3963  1 Tc 1.73
6 H 0.8018 0.4905 0.6037  1 Tc 1.73
7 H 0.1982 0.9905 0.3963  1 Tc 1.73
8 H 0.8018 0.0095 0.6037  1 Tc 1.73
9 H 0.5845 0.7500 0.1690  2 Tc 1.85
10 H 0.4155 0.2500 0.8310  2 Tc 1.85
11 H 0.0000 0.5000 0.0000  2 Tc 1.77
12 H 0.0000 0.0000 0.0000  2 Tc 1.77

Distance to the lowest polymorph of the same formula = 0.0000 eV/atom
DFT total energy = -5.156 eV per atom
Fermi-level density of states = 0.07 states/eV/f.u.


Record 6
Material: PmTc2H7
Method: DFT, PBE
State: relaxed

a = 3.5733 Å, b = 5.4215 Å, c = 5.2124 Å
α = 121.34°, β = 90.00°, γ = 90.00°
Last column: nearest neighbours and their distance in Å.
Sites, in units of the cell vectors:
1 Pm 0.0000 0.0000 0.0000  10 H 2.37-2.46
2 Tc 0.5000 0.3050 0.6100  7 H 1.74-1.81
3 Tc 0.5000 0.6950 0.3900  7 H 1.74-1.81
4 H 0.0000 0.2765 0.5529  2 Tc 1.80
5 H 0.0000 0.7235 0.4471  2 Tc 1.80
6 H 0.5000 0.3177 0.2696  2 Tc 1.80-1.81, 1 H 1.98
7 H 0.5000 0.6823 0.7304  2 Tc 1.80-1.81, 1 H 1.98
8 H 0.5000 0.0481 0.7304  2 Tc 1.80-1.81, 1 H 1.98
9 H 0.5000 0.9519 0.2696  2 Tc 1.80-1.81, 1 H 1.98
10 H 0.5000 0.5000 0.0000  2 Tc 1.74

DFT total energy = -4.993 eV per atom
Fermi-level density of states = 4.28 states/eV/f.u.


Record 7
Material: Pm2TcH4
Method: DFT, PBE
State: relaxed

a = 3.7249 Å, b = 3.7249 Å, c = 6.7292 Å
α = 73.93°, β = 73.93°, γ = 90.00°
Last column: nearest neighbours and their distance in Å.
Sites, in units of the cell vectors:
1 H 0.8506 0.8506 0.2988  1 Tc 1.85
2 H 0.1494 0.1494 0.7012  1 Tc 1.85
3 H 0.0000 0.5000 0.0000  2 Tc 1.86
4 H 0.5000 0.0000 0.0000  2 Tc 1.86
5 Tc 0.0000 0.0000 0.0000  6 H 1.85-1.86
6 Pm 0.6480 0.6480 0.7039  9 H 2.51-2.63
7 Pm 0.3520 0.3520 0.2961  9 H 2.51-2.63

DFT total energy = -5.084 eV per atom
Fermi-level density of states = 4.11 states/eV/f.u.


Record 8
Material: Pm3Te3H
Method: DFT, PBE
State: relaxed

a = 7.5036 Å, b = 7.5036 Å, c = 7.6851 Å
α = 96.88°, β = 96.88°, γ = 109.72°
Last column: nearest neighbours and their distance in Å.
Sites, in units of the cell vectors:
1 Pm 0.8996 0.8996 0.1685  2 H 2.40-2.41
2 Pm 0.8499 0.5497 0.6974  1 H 2.32
3 Pm 0.5497 0.8499 0.6974  1 H 2.32
4 Pm 0.1501 0.4503 0.3026  1 H 2.32
5 Pm 0.4503 0.1501 0.3026  1 H 2.32
6 Pm 0.1004 0.1004 0.8315  2 H 2.40-2.41
7 Te 0.6052 0.6052 0.3338  5 Pm 3.07-3.30, 1 Te 3.43
8 Te 0.1579 0.8421 0.5000  6 Pm 3.12-3.27
9 Te 0.8421 0.1579 0.5000  6 Pm 3.12-3.27
10 Te 0.2321 0.7679 0.0000  6 Pm 3.26-3.49, 2 H 3.32
11 Te 0.7679 0.2321 0.0000  6 Pm 3.26-3.49, 2 H 3.32
12 Te 0.3948 0.3948 0.6662  5 Pm 3.07-3.30, 1 Te 3.43
13 H 0.8249 0.8249 0.8495  4 Pm 2.32-2.41
14 H 0.1751 0.1751 0.1505  4 Pm 2.32-2.41

DFT total energy = -5.003 eV per atom
Fermi-level density of states = 4.76 states/eV/f.u.


Record 9
Material: PmTeH2
Method: DFT, PBE
State: relaxed

a = 4.6735 Å, b = 4.6735 Å, c = 4.4686 Å
α = 58.47°, β = 58.47°, γ = 60.00°
Last column: nearest neighbours and their distance in Å.
Sites, in units of the cell vectors:
1 H 0.2113 0.2113 0.3661  1 Pm 2.26
2 H 0.7887 0.7887 0.6339  1 Pm 2.26
3 Te 0.5000 0.5000 0.5000  6 H 2.74
4 Pm 0.0000 0.0000 0.0000  2 H 2.26

DFT total energy = -3.921 eV per atom
Fermi-level density of states = 1.29 states/eV/f.u.


Record 10
Material: PmTeH
Method: DFT, PBE
State: relaxed

a = 4.6415 Å, b = 4.6413 Å, c = 7.3380 Å
α = 71.47°, β = 71.47°, γ = 89.96°
Last column: nearest neighbours and their distance in Å.
Sites, in units of the cell vectors:
1 Pm 0.2423 0.1824 0.4315  4 H 2.59-2.60
2 Pm 0.5662 0.5064 0.7855  4 H 2.59-2.60
3 Te 0.4042 0.8444 0.1085  4 Pm 3.14, 2 H 3.28, 4 Te 3.28
4 Te 0.9042 0.3443 0.1085  4 Pm 3.14, 2 H 3.28, 4 Te 3.28
5 H 0.1544 0.5944 0.6085  4 Pm 2.59-2.60
6 H 0.6541 0.0946 0.6085  4 Pm 2.59-2.60

Distance to the lowest polymorph of the same formula = 0.6363 eV/atom
DFT total energy = -4.320 eV per atom
Fermi-level density of states = 1.57 states/eV/f.u.


Record 11
Material: Pm4Te2H9
Method: DFT, PBE
State: relaxed

a = 3.9378 Å, b = 3.9378 Å, c = 15.3562 Å
α = 90.00°, β = 90.00°, γ = 120.00°
Last column: nearest neighbours and their distance in Å.
Sites, in units of the cell vectors:
1 Pm 0.3333 0.6667 0.3977  7 H 2.30-2.42
2 Pm 0.6667 0.3333 0.6023  7 H 2.30-2.42
3 Pm 0.6667 0.3333 0.8934  7 H 2.28-2.46
4 Pm 0.3333 0.6667 0.1066  7 H 2.28-2.46
5 Te 0.3333 0.6667 0.7500  8 H 2.95-3.25, 6 Pm 3.16-3.21
6 Te 0.6667 0.3333 0.2500  8 H 2.95-3.25, 6 Pm 3.16-3.21
7 H 0.0000 0.0000 0.3729  1 H 1.95
8 H 0.0000 0.0000 0.6271  1 H 1.95
9 H 0.0000 0.0000 0.9014  3 Pm 2.28, 3 H 2.42
10 H 0.0000 0.0000 0.0986  3 Pm 2.28, 3 H 2.42
11 H 0.3333 0.6667 0.5474  4 Pm 2.30-2.42, 3 H 2.39
12 H 0.6667 0.3333 0.4526  4 Pm 2.30-2.42, 3 H 2.39
13 H 0.6667 0.3333 0.0454  4 Pm 2.34-2.46, 3 H 2.42
14 H 0.3333 0.6667 0.9546  4 Pm 2.34-2.46, 3 H 2.42
15 H 0.0000 0.0000 0.5000  2 H 1.95

DFT total energy = -4.391 eV per atom
Fermi-level density of states = 2.41 states/eV/f.u.


Record 12
Material: Pm2Te3H
Method: DFT, PBE
State: relaxed

a = 4.5086 Å, b = 8.5367 Å, c = 10.9994 Å
α = 70.42°, β = 78.17°, γ = 74.69°
Last column: nearest neighbours and their distance in Å.
Sites, in units of the cell vectors:
1 Pm 0.8538 0.4741 0.8183  5 Te 3.05-3.18, 2 H 3.05
2 Pm 0.1462 0.5259 0.1817  5 Te 3.05-3.18, 2 H 3.05
3 Pm 0.5994 0.2483 0.5528  2 H 2.36-2.39
4 Pm 0.4006 0.7517 0.4472  2 H 2.36-2.39
5 Te 0.0558 0.1268 0.7616  3 Pm 3.10-3.13
6 Te 0.9442 0.8732 0.2384  3 Pm 3.10-3.13
7 Te 0.6424 0.7104 0.0048  3 Pm 3.05-3.18
8 Te 0.3576 0.2896 0.9952  3 Pm 3.05-3.18
9 Te 0.7701 0.8343 0.6255  4 Pm 3.07-3.26
10 Te 0.2299 0.1657 0.3745  4 Pm 3.07-3.26
11 H 0.4414 0.4941 0.6232  2 Pm 2.36-2.39, 1 H 2.63
12 H 0.5586 0.5059 0.3768  2 Pm 2.36-2.39, 1 H 2.63

Distance to the lowest polymorph of the same formula = 0.2033 eV/atom
DFT total energy = -4.624 eV per atom
Fermi-level density of states = 3.46 states/eV/f.u.